Arrangement A

Material: MnPtCl
Method: DFT, PBE-GGA
State: relaxed

- ρ (g/cm³) = 7.887
- DOS at the Fermi energy (states/eV/atom) = 0.42
- magnetic moment (μB/atom) = 1.616

abc: 6.218 6.218 6.218
angles: 90.00 90.00 90.00
Atoms (fractional coordinates):
Mn: 0.000 0.000 0.000
Mn: 0.000 0.500 0.500
Mn: 0.500 0.000 0.500
Mn: 0.500 0.500 0.000
Pt: 0.250 0.250 0.250
Pt: 0.250 0.750 0.750
Pt: 0.750 0.250 0.750
Pt: 0.750 0.750 0.250
Cl: 0.000 0.000 0.500
Cl: 0.000 0.500 0.000
Cl: 0.500 0.000 0.000
Cl: 0.500 0.500 0.500

---

Arrangement B

Material: MnPtCl
Method: DFT, PBE-GGA
State: relaxed

- ρ (g/cm³) = 8.477
- DOS at the Fermi energy (states/eV/atom) = 0.76
- magnetic moment (μB/atom) = 1.543

abc: 3.190 3.190 6.344
angles: 90.00 90.00 120.00
Atoms (fractional coordinates):
Mn: 0.000 0.000 0.000
Pt: 0.333 0.667 0.280
Cl: 0.667 0.333 0.741

---

Arrangement C

Material: MnPtCl
Method: DFT, PBE-GGA
State: relaxed

- ρ (g/cm³) = 8.722
- DOS at the Fermi energy (states/eV/atom) = 0.61
- magnetic moment (μB/atom) = 1.556

abc: 2.988 2.988 12.176
angles: 90.00 90.00 90.00
Atoms (fractional coordinates):
Mn: 0.000 0.000 0.000
Mn: 0.500 0.500 0.500
Pt: 0.000 0.000 0.364
Pt: 0.500 0.500 0.864
Cl: 0.000 0.000 0.632
Cl: 0.500 0.500 0.132

---

Name the most stable of them. arrangement B.

---

Arrangement A

Material: Mn2PtCl
Method: DFT, PBE-GGA
State: relaxed

- ρ (g/cm³) = 8.215
- DOS at the Fermi energy (states/eV/atom) = 1.12
- magnetic moment (μB/atom) = 0.008

abc: 4.070 2.755 6.138
angles: 90.00 91.12 90.00
Atoms (fractional coordinates):
Mn: 0.011 0.000 0.159
Mn: 0.989 0.000 0.841
Pt: 0.500 0.500 0.000
Cl: 0.000 0.500 0.500

---

Arrangement B

Material: Mn2PtCl
Method: DFT, PBE-GGA
State: relaxed

- ρ (g/cm³) = 8.570
- DOS at the Fermi energy (states/eV/atom) = 0.53
- magnetic moment (μB/atom) = 1.622

abc: 2.909 2.909 27.007
angles: 90.00 90.00 120.00
Atoms (fractional coordinates):
Mn: 0.000 0.000 0.000
Mn: 0.000 0.000 0.260
Mn: 0.333 0.667 0.667
Mn: 0.333 0.667 0.927
Mn: 0.667 0.333 0.333
Mn: 0.667 0.333 0.593
Pt: 0.000 0.000 0.742
Pt: 0.333 0.667 0.408
Pt: 0.667 0.333 0.075
Cl: 0.000 0.000 0.533
Cl: 0.333 0.667 0.200
Cl: 0.667 0.333 0.867

---

Name the most stable of them. arrangement B.

---

Arrangement A

Material: Mn2PtCl
Method: DFT, PBE-GGA
State: relaxed

- ρ (g/cm³) = 8.216
- DOS at the Fermi energy (states/eV/atom) = 0.55
- magnetic moment (μB/atom) = 2.243

abc: 3.078 3.078 7.262
angles: 90.00 90.00 90.00
Atoms (fractional coordinates):
Mn: 0.000 0.000 0.224
Mn: 0.000 0.000 0.776
Pt: 0.500 0.500 0.000
Cl: 0.500 0.500 0.500

---

Arrangement B

Material: Mn2PtCl
Method: DFT, PBE-GGA
State: relaxed

- ρ (g/cm³) = 8.017
- DOS at the Fermi energy (states/eV/atom) = 0.28
- magnetic moment (μB/atom) = 2.206

abc: 3.313 3.313 22.253
angles: 90.00 90.00 120.00
Atoms (fractional coordinates):
Mn: 0.000 0.000 0.247
Mn: 0.000 0.000 0.753
Mn: 0.333 0.667 0.420
Mn: 0.333 0.667 0.913
Mn: 0.667 0.333 0.087
Mn: 0.667 0.333 0.580
Pt: 0.000 0.000 0.500
Pt: 0.333 0.667 0.167
Pt: 0.667 0.333 0.833
Cl: 0.000 0.000 0.000
Cl: 0.333 0.667 0.667
Cl: 0.667 0.333 0.333

---

Arrangement C

Material: Mn2PtCl
Method: DFT, PBE-GGA
State: relaxed

- ρ (g/cm³) = 7.062
- DOS at the Fermi energy (states/eV/atom) = 0.33
- magnetic moment (μB/atom) = 2.173

abc: 8.149 3.015 7.643
angles: 90.00 121.50 90.00
Atoms (fractional coordinates):
Mn: 0.128 0.000 0.313
Mn: 0.372 0.500 0.687
Mn: 0.628 0.500 0.313
Mn: 0.872 0.000 0.687
Pt: 0.000 0.500 0.500
Pt: 0.500 0.000 0.500
Cl: 0.000 0.500 0.000
Cl: 0.500 0.000 0.000

---

Arrangement D

Material: Mn2PtCl
Method: DFT, PBE-GGA
State: relaxed

- ρ (g/cm³) = 8.102
- DOS at the Fermi energy (states/eV/atom) = 0.44
- magnetic moment (μB/atom) = 2.224

abc: 3.681 5.293 7.161
angles: 90.00 90.00 90.00
Atoms (fractional coordinates):
Mn: 0.000 0.000 0.239
Mn: 0.000 0.000 0.761
Mn: 0.500 0.500 0.261
Mn: 0.500 0.500 0.739
Pt: 0.000 0.500 0.000
Pt: 0.500 0.000 0.500
Cl: 0.000 0.500 0.500
Cl: 0.500 0.000 0.000

---

Name the most stable of them. arrangement C.

---

Arrangement A

Material: Mn2PtCl
Method: DFT, PBE-GGA
State: relaxed

- ρ (g/cm³) = 10.501
- DOS at the Fermi energy (states/eV/atom) = 2.17
- magnetic moment (μB/atom) = 0.000

abc: 5.994 5.994 5.994
angles: 90.00 90.00 90.00
Atoms (fractional coordinates):
Mn: 0.250 0.250 0.250
Mn: 0.250 0.250 0.750
Mn: 0.250 0.750 0.250
Mn: 0.250 0.750 0.750
Mn: 0.750 0.250 0.250
Mn: 0.750 0.250 0.750
Mn: 0.750 0.750 0.250
Mn: 0.750 0.750 0.750
Pt: 0.000 0.000 0.000
Pt: 0.000 0.500 0.500
Pt: 0.500 0.000 0.500
Pt: 0.500 0.500 0.000
Cl: 0.000 0.000 0.500
Cl: 0.000 0.500 0.000
Cl: 0.500 0.000 0.000
Cl: 0.500 0.500 0.500

---

Arrangement B

Material: Mn2PtCl
Method: DFT, PBE-GGA
State: relaxed

- ρ (g/cm³) = 7.623
- DOS at the Fermi energy (states/eV/atom) = 0.75
- magnetic moment (μB/atom) = 2.089

abc: 3.290 3.290 6.851
angles: 90.00 90.00 90.00
Atoms (fractional coordinates):
Mn: 0.000 0.000 0.000
Mn: 0.500 0.500 0.234
Pt: 0.000 0.000 0.392
Cl: 0.500 0.500 0.831

---

Name the most stable of them. arrangement B.

---

Arrangement A

Material: MnPt2Cl
Method: DFT, PBE-GGA
State: relaxed

- ρ (g/cm³) = 12.060
- DOS at the Fermi energy (states/eV/atom) = 1.36
- magnetic moment (μB/atom) = 1.116

abc: 6.421 6.421 6.421
angles: 90.00 90.00 90.00
Atoms (fractional coordinates):
Mn: 0.000 0.000 0.000
Mn: 0.000 0.500 0.500
Mn: 0.500 0.000 0.500
Mn: 0.500 0.500 0.000
Pt: 0.000 0.000 0.500
Pt: 0.000 0.500 0.000
Pt: 0.250 0.250 0.750
Pt: 0.250 0.750 0.250
Pt: 0.500 0.000 0.000
Pt: 0.500 0.500 0.500
Pt: 0.750 0.250 0.250
Pt: 0.750 0.750 0.750
Cl: 0.250 0.250 0.250
Cl: 0.250 0.750 0.750
Cl: 0.750 0.250 0.750
Cl: 0.750 0.750 0.250

---

Arrangement B

Material: MnPt2Cl
Method: DFT, PBE-GGA
State: relaxed

- ρ (g/cm³) = 10.646
- DOS at the Fermi energy (states/eV/atom) = 0.93
- magnetic moment (μB/atom) = 0.999

abc: 7.865 7.865 4.847
angles: 90.00 90.00 90.00
Atoms (fractional coordinates):
Mn: 0.000 0.000 0.000
Mn: 0.000 0.500 0.250
Mn: 0.500 0.000 0.750
Mn: 0.500 0.500 0.500
Pt: 0.198 0.250 0.125
Pt: 0.250 0.698 0.375
Pt: 0.250 0.802 0.875
Pt: 0.302 0.250 0.625
Pt: 0.698 0.750 0.625
Pt: 0.750 0.198 0.875
Pt: 0.750 0.302 0.375
Pt: 0.802 0.750 0.125
Cl: 0.000 0.000 0.500
Cl: 0.000 0.500 0.750
Cl: 0.500 0.000 0.250
Cl: 0.500 0.500 0.000

---

Name the most stable of them. arrangement B.

---

Arrangement A

Material: MnPt2Cl
Method: DFT, PBE-GGA
State: relaxed

- ρ (g/cm³) = 12.179
- DOS at the Fermi energy (states/eV/atom) = 0.73
- magnetic moment (μB/atom) = 1.202

abc: 4.725 4.725 2.934
angles: 90.00 90.00 90.00
Atoms (fractional coordinates):
Mn: 0.000 0.000 0.000
Pt: 0.000 0.500 0.500
Pt: 0.500 0.000 0.500
Cl: 0.500 0.500 0.000

---

Arrangement B

Material: MnPt2Cl
Method: DFT, PBE-GGA
State: relaxed

- ρ (g/cm³) = 12.319
- DOS at the Fermi energy (states/eV/atom) = 0.87
- magnetic moment (μB/atom) = 1.095

abc: 6.375 6.375 6.375
angles: 90.00 90.00 90.00
Atoms (fractional coordinates):
Mn: 0.000 0.000 0.000
Mn: 0.000 0.500 0.500
Mn: 0.500 0.000 0.500
Mn: 0.500 0.500 0.000
Pt: 0.250 0.250 0.250
Pt: 0.250 0.250 0.750
Pt: 0.250 0.750 0.250
Pt: 0.250 0.750 0.750
Pt: 0.750 0.250 0.250
Pt: 0.750 0.250 0.750
Pt: 0.750 0.750 0.250
Pt: 0.750 0.750 0.750
Cl: 0.000 0.000 0.500
Cl: 0.000 0.500 0.000
Cl: 0.500 0.000 0.000
Cl: 0.500 0.500 0.500

---

Name the most stable of them. arrangement B.

---

Arrangement A

Material: MnPt3Cl
Method: DFT, PBE-GGA
State: relaxed

- ρ (g/cm³) = 11.468
- DOS at the Fermi energy (states/eV/atom) = 1.06
- magnetic moment (μB/atom) = 0.000

abc: 4.608 4.608 4.608
angles: 90.00 90.00 90.00
Atoms (fractional coordinates):
Mn: 0.000 0.000 0.000
Pt: 0.000 0.000 0.500
Pt: 0.000 0.500 0.000
Pt: 0.500 0.000 0.000
Cl: 0.500 0.500 0.500

---

Arrangement B

Material: MnPt3Cl
Method: DFT, PBE-GGA
State: relaxed

- ρ (g/cm³) = 11.875
- DOS at the Fermi energy (states/eV/atom) = 0.42
- magnetic moment (μB/atom) = 0.852

abc: 4.555 4.555 4.555
angles: 90.00 90.00 90.00
Atoms (fractional coordinates):
Mn: 0.000 0.000 0.000
Pt: 0.000 0.500 0.500
Pt: 0.500 0.000 0.500
Pt: 0.500 0.500 0.000
Cl: 0.500 0.500 0.500

---

Name the most stable of them. arrangement B.

---

Arrangement A

Material: Mn3PtCl
Method: DFT, PBE-GGA
State: relaxed

- ρ (g/cm³) = 5.319
- DOS at the Fermi energy (states/eV/atom) = 0.59
- magnetic moment (μB/atom) = 2.802

abc: 4.979 4.979 4.979
angles: 90.00 90.00 90.00
Atoms (fractional coordinates):
Mn: 0.000 0.000 0.500
Mn: 0.000 0.500 0.000
Mn: 0.500 0.000 0.000
Pt: 0.000 0.000 0.000
Cl: 0.500 0.500 0.500

---

Arrangement B

Material: Mn3PtCl
Method: DFT, PBE-GGA
State: relaxed

- ρ (g/cm³) = 9.831
- DOS at the Fermi energy (states/eV/atom) = 0.92
- magnetic moment (μB/atom) = 0.000

abc: 4.057 4.057 4.057
angles: 90.00 90.00 90.00
Atoms (fractional coordinates):
Mn: 0.000 0.000 0.500
Mn: 0.000 0.500 0.000
Mn: 0.500 0.000 0.000
Pt: 0.500 0.500 0.500
Cl: 0.000 0.000 0.000

---

Name the most stable of them. arrangement A.